Record 1
Material: AlTl2GaTe5
Method: DFT, PBE-GGA
State: relaxed

a b c (Å): 10.5740 10.5740 14.2960
angles (deg): 90.00 90.00 158.71
With the nearest neighbours (Å) after each atom.
Atoms (fractional coordinates):
1 Al 0.1973 0.8027 0.5000  6 Te 2.78-2.98
2 Al 0.8027 0.1973 0.0000  6 Te 2.78-2.98
3 Tl 0.1147 0.8853 0.1533  7 Te 3.46-3.78
4 Tl 0.1404 0.8596 0.7900  6 Te 3.30-3.35
5 Tl 0.8596 0.1404 0.2900  6 Te 3.30-3.35
6 Tl 0.8853 0.1147 0.6533  7 Te 3.46-3.78
7 Ga 0.4412 0.5588 0.9043  4 Te 2.59-2.67
8 Ga 0.5588 0.4412 0.4043  4 Te 2.59-2.67
9 Te 0.0549 0.9451 0.5278  2 Ga 2.63
10 Te 0.2832 0.7168 0.1352  2 Al 2.78
11 Te 0.3172 0.6828 0.8571  1 Ga 2.67, 2 Al 2.84
12 Te 0.3297 0.6703 0.4705  1 Al 2.78
13 Te 0.4874 0.5126 0.2556  1 Ga 2.59
14 Te 0.5126 0.4874 0.7556  1 Ga 2.59
15 Te 0.6703 0.3297 0.9705  1 Al 2.78
16 Te 0.6828 0.3172 0.3571  1 Ga 2.67, 2 Al 2.84
17 Te 0.7168 0.2832 0.6352  2 Al 2.78
18 Te 0.9451 0.0549 0.0278  2 Ga 2.63

Calculated values
N(E_F): 8.18 states/eV per cell
formation energy without anion corrections: -0.25 eV/atom
V: 32.24 A^3/atom

Record 2
Material: LaNb2AlSi
Method: DFT, PBE-GGA
State: relaxed

a b c (Å): 4.9975 4.9975 5.1427
angles (deg): 90.00 90.00 90.00
With the nearest neighbours (Å) after each atom.
Atoms (fractional coordinates):
1 La 0.0000 0.0000 0.0000  4 Nb 2.50, 2 Si 2.57
2 Nb 0.0000 0.5000 0.0000  2 La 2.50
3 Nb 0.5000 0.0000 0.0000  2 La 2.50
4 Al 0.5000 0.5000 0.5000  4 Si 3.53, 8 Nb 3.59
5 Si 0.0000 0.0000 0.5000  2 La 2.57

Calculated values
N(E_F): 4.37 states/eV per cell
formation energy without anion corrections: 1.88 eV/atom
V: 25.69 A^3/atom

Record 3
Material: Pu2Th2Ge4Pd
Method: DFT, PBE-GGA
State: relaxed

a b c (Å): 6.5565 6.5565 6.5565
angles (deg): 114.48 114.48 99.87
With the nearest neighbours (Å) after each atom.
Atoms (fractional coordinates):
1 Pu 0.1725 0.1725 0.0000  1 Pd 2.76, 1 Pu 2.91, 4 Ge 2.94
2 Pu 0.8275 0.8275 0.0000  1 Pd 2.76, 1 Pu 2.91, 4 Ge 2.94
3 Th 0.2500 0.7500 0.5000  8 Ge 3.28, 4 Pu 3.61
4 Th 0.7500 0.2500 0.5000  8 Ge 3.28, 4 Pu 3.61
5 Ge 0.2541 0.2541 0.5083  1 Pd 2.47
6 Ge 0.2541 0.7459 0.0000  1 Pd 2.47
7 Ge 0.7459 0.2541 0.0000  1 Pd 2.47
8 Ge 0.7459 0.7459 0.4917  1 Pd 2.47
9 Pd 0.5000 0.5000 0.0000  4 Ge 2.47

Calculated values
N(E_F): 16.28 states/eV per cell
V: 23.61 A^3/atom
E: -70.50 eV for the cell shown

Record 4
Material: Fe2MoAu
Method: DFT, PBE-GGA
State: relaxed

a b c (Å): 2.6743 2.6743 8.3345
angles (deg): 90.00 90.00 103.36
With the nearest neighbours (Å) after each atom.
Atoms (fractional coordinates):
1 Fe 0.0000 0.0000 0.0000  6 Fe 2.44-2.67, 2 Mo 2.60
2 Fe 0.5000 0.5000 0.2150  6 Fe 2.44-2.67, 2 Au 2.72
3 Mo 0.5000 0.5000 0.7597  4 Fe 2.60-2.90, 4 Mo 2.67, 2 Au 2.90
4 Au 0.0000 0.0000 0.4744  4 Au 2.67, 2 Fe 2.72, 2 Mo 2.90

Calculated values
energy relative to the lowest polymorph listed for this composition: 35 meV/atom
N(E_F): 3.19 states/eV per cell
V: 14.50 A^3/atom

Record 5
Material: NaMgB2
Method: DFT, PBE-GGA
State: relaxed

a b c (Å): 8.7647 8.7647 8.7647
angles (deg): 155.76 155.76 34.55
With the nearest neighbours (Å) after each atom.
Atoms (fractional coordinates):
1 Na 0.3750 0.6250 0.7500  4 Mg 2.60
2 Na 0.6250 0.3750 0.2500  4 Mg 2.60
3 Mg 0.1250 0.8750 0.2500  4 B 2.29
4 Mg 0.8750 0.1250 0.7500  4 B 2.29
5 B 0.0000 0.0000 0.0000  2 B 1.84
6 B 0.0000 0.0000 0.5000  2 B 1.84
7 B 0.0000 0.5000 0.0000  2 B 1.84
8 B 0.5000 0.0000 0.5000  2 B 1.84

Calculated values
N(E_F): 2.26 states/eV per cell
V: 14.17 A^3/atom
E: -24.99 eV for the cell shown

Record 6
Material: TbYInOs
Method: DFT, PBE-GGA
State: relaxed

a b c (Å): 5.0572 5.0572 5.0572
angles (deg): 60.00 60.00 60.00
With the nearest neighbours (Å) after each atom.
Atoms (fractional coordinates):
1 Tb 0.0000 0.0000 0.0000  4 In 3.10, 4 Os 3.10
2 Y 0.5000 0.5000 0.5000  4 In 3.10, 4 Os 3.10
3 In 0.7500 0.7500 0.7500  4 Tb 3.10, 4 Y 3.10
4 Os 0.2500 0.2500 0.2500  4 Tb 3.10, 4 Y 3.10

Calculated values
N(E_F): 2.58 states/eV per cell
V: 22.86 A^3/atom
E: -26.00 eV for the cell shown

Record 7
Material: CdPdNF2
Method: DFT, PBE-GGA
State: relaxed

a b c (Å): 4.3549 4.3549 4.4125
angles (deg): 90.00 90.00 90.00
With the nearest neighbours (Å) after each atom.
Atoms (fractional coordinates):
1 Cd 0.0000 0.0000 0.0000  4 F 2.18, 2 N 2.21
2 Pd 0.5000 0.5000 0.5000  4 N 3.08, 8 F 3.10
3 N 0.0000 0.0000 0.5000  2 Cd 2.21
4 F 0.0000 0.5000 0.0000  2 Cd 2.18
5 F 0.5000 0.0000 0.0000  2 Cd 2.18

Calculated values
energy relative to the lowest polymorph listed for this composition: 417 meV/atom
N(E_F): 8.45 states/eV per cell
formation energy without anion corrections: 0.16 eV/atom
V: 16.74 A^3/atom

Record 8
Material: Zr2CrRe2
Method: DFT, PBE-GGA
State: relaxed

a b c (Å): 7.6517 7.6517 3.1325
angles (deg): 90.00 90.00 90.00
With the nearest neighbours (Å) after each atom.
Atoms (fractional coordinates):
1 Zr 0.1475 0.3525 0.0000  6 Re 2.63-2.81, 2 Cr 2.92
2 Zr 0.3525 0.8525 0.0000  6 Re 2.63-2.81, 2 Cr 2.92
3 Zr 0.6475 0.1475 0.0000  6 Re 2.63-2.81, 2 Cr 2.92
4 Zr 0.8525 0.6475 0.0000  6 Re 2.63-2.81, 2 Cr 2.92
5 Cr 0.0000 0.0000 0.0000  4 Zr 2.92, 2 Cr 3.13
6 Cr 0.5000 0.5000 0.0000  4 Zr 2.92, 2 Cr 3.13
7 Re 0.1573 0.6573 0.5000  6 Zr 2.63-2.81
8 Re 0.3427 0.1573 0.5000  6 Zr 2.63-2.81
9 Re 0.6573 0.8427 0.5000  6 Zr 2.63-2.81
10 Re 0.8427 0.3427 0.5000  6 Zr 2.63-2.81

Calculated values
energy relative to the lowest polymorph listed for this composition: 724 meV/atom
N(E_F): 12.13 states/eV per cell
V: 18.34 A^3/atom

Record 9
Material: ErTc6B4
Method: DFT, PBE-GGA
State: relaxed

a b c (Å): 5.7740 5.7740 5.7740
angles (deg): 121.32 121.32 87.73
With the nearest neighbours (Å) after each atom.
Atoms (fractional coordinates):
1 Er 0.0000 0.0000 0.0000  12 Tc 2.78-3.07, 4 B 2.93
2 Tc 0.0000 0.5000 0.5000  4 B 2.25
3 Tc 0.0840 0.0840 0.6130  4 B 2.23-2.41
4 Tc 0.4710 0.4710 0.3870  4 B 2.23-2.41
5 Tc 0.5000 0.0000 0.5000  4 B 2.25
6 Tc 0.5290 0.9160 0.0000  4 B 2.23-2.41
7 Tc 0.9160 0.5290 0.0000  4 B 2.23-2.41
8 B 0.2981 0.5772 0.0000  2 B 1.89
9 B 0.4228 0.4228 0.7209  2 B 1.89
10 B 0.5772 0.2981 0.0000  2 B 1.89
11 B 0.7019 0.7019 0.2791  2 B 1.89

Calculated values
N(E_F): 5.65 states/eV per cell
V: 12.12 A^3/atom
E: -95.42 eV for the cell shown

Record 10
Material: Ac2GaPPd6
Method: DFT, PBE-GGA
State: relaxed

a b c (Å): 5.7137 6.4810 6.9451
angles (deg): 73.97 65.85 63.91
With the nearest neighbours (Å) after each atom.
Atoms (fractional coordinates):
1 Ac 0.2415 0.2279 0.2886  9 Pd 3.12-3.37
2 Ac 0.7585 0.7721 0.7114  9 Pd 3.12-3.37
3 Ga 0.5000 0.5000 0.5000  6 Pd 2.55-2.57
4 P 0.0000 0.0000 0.0000  6 Pd 2.40
5 Pd 0.2418 0.2465 0.7666  1 P 2.40, 1 Ga 2.55
6 Pd 0.2495 0.6254 0.8763  1 P 2.40, 1 Ga 2.57
7 Pd 0.2559 0.7530 0.2329  1 P 2.40, 1 Ga 2.55
8 Pd 0.7441 0.2470 0.7671  1 P 2.40, 1 Ga 2.55
9 Pd 0.7505 0.3746 0.1237  1 P 2.40, 1 Ga 2.57
10 Pd 0.7582 0.7535 0.2334  1 P 2.40, 1 Ga 2.55

Calculated values
N(E_F): 4.51 states/eV per cell
V: 20.93 A^3/atom
E: -55.79 eV for the cell shown

Record 11
Material: BaBeHPt2
Method: DFT, PBE-GGA
State: relaxed

a b c (Å): 5.4889 5.4889 3.6730
angles (deg): 90.00 90.00 90.00
With the nearest neighbours (Å) after each atom.
Atoms (fractional coordinates):
1 Ba 0.0000 0.0000 0.0000  2 H 1.84
2 Be 0.5000 0.5000 0.5000  8 Pt 3.30, 2 Be 3.67
3 H 0.0000 0.0000 0.5000  2 Ba 1.84
4 Pt 0.0000 0.5000 0.0000  2 Ba 2.74
5 Pt 0.5000 0.0000 0.0000  2 Ba 2.74

Calculated values
N(E_F): 3.38 states/eV per cell
V: 22.13 A^3/atom
E: -13.86 eV for the cell shown

Record 12
Material: Rb2NpTiO6
Method: DFT, PBE-GGA
State: relaxed

a b c (Å): 6.2785 7.6282 7.5713
angles (deg): 90.00 90.00 90.00
With the nearest neighbours (Å) after each atom.
Atoms (fractional coordinates):
1 Rb 0.2500 0.0204 0.1711  4 O 2.79-3.01
2 Rb 0.2500 0.4796 0.1711  4 O 2.79-3.01
3 Rb 0.7500 0.5204 0.8289  4 O 2.79-3.01
4 Rb 0.7500 0.9796 0.8289  4 O 2.79-3.01
5 Np 0.2500 0.2500 0.7175  4 O 1.92-2.12
6 Np 0.7500 0.7500 0.2825  4 O 1.92-2.12
7 Ti 0.2500 0.7500 0.6057  4 O 1.81-1.87
8 Ti 0.7500 0.2500 0.3943  4 O 1.81-1.87
9 O 0.0015 0.2500 0.5274  1 Ti 1.87
10 O 0.0375 0.2500 0.8992  1 Np 1.92
11 O 0.2500 0.5482 0.7310  1 Ti 1.81
12 O 0.2500 0.9518 0.7310  1 Ti 1.81
13 O 0.4625 0.2500 0.8992  1 Np 1.92
14 O 0.4985 0.2500 0.5274  1 Ti 1.87
15 O 0.5015 0.7500 0.4726  1 Ti 1.87
16 O 0.5375 0.7500 0.1008  1 Np 1.92
17 O 0.7500 0.0482 0.2690  1 Ti 1.81
18 O 0.7500 0.4518 0.2690  1 Ti 1.81
19 O 0.9625 0.7500 0.1008  1 Np 1.92
20 O 0.9985 0.7500 0.4726  1 Ti 1.87

Calculated values
formation energy without anion corrections: -2.60 eV/atom
V: 18.13 A^3/atom